No. 1
LaRh2Au | SCAN | PBEsol geometry

Properties
The density of states at the Fermi level is 6.046 states/eV per cell. The volume is 18.0 A^3/atom. For the energy of formation from the pure elements, the calculation gives -24.70 kJ/mol of atoms. The value obtained for the electronic total energy is -361.7 eV per cell. As for the symmetry: No. 12.

a = 5.860 Å, b = 9.088 Å, c = 3.049 Å
α = 90.00°, β = 117.64°, γ = 90.00°
Fractional positions:
1 La 0.000 0.000 0.000
2 La 0.500 0.500 0.000
3 Rh 0.250 0.250 0.500
4 Rh 0.250 0.750 0.500
5 Rh 0.750 0.250 0.500
6 Rh 0.750 0.750 0.500
7 Au 0.000 0.500 0.000
8 Au 0.500 0.000 0.000

No. 2
LaCuAu | SCAN | PBEsol geometry

Properties
The density of states at the Fermi level is 1.802 states/eV per cell. The volume is 21.6 A^3/atom. For the energy of formation from the pure elements, the calculation gives -68.45 kJ/mol of atoms. The value obtained for the electronic total energy is -129.6 eV per cell. As for the symmetry: No. 187.

a = 4.458 Å, b = 4.458 Å, c = 3.771 Å
α = 90.00°, β = 90.00°, γ = 120.00°
Fractional positions:
1 La 0.000 0.000 0.000
2 Cu 0.333 0.667 0.500
3 Au 0.667 0.333 0.500

No. 3
Rb2PPd | SCAN | PBEsol geometry

Properties
The density of states at the Fermi level is 5.010 states/eV per cell. The volume is 44.9 A^3/atom. For the energy of formation from the pure elements, the calculation gives -33.13 kJ/mol of atoms. The value obtained for the electronic total energy is -344.1 eV per cell. As for the symmetry: No. 122.

a = 12.762 Å, b = 12.762 Å, c = 4.411 Å
α = 90.00°, β = 90.00°, γ = 90.00°
Fractional positions:
1 Rb 0.038 0.250 0.125
2 Rb 0.250 0.538 0.375
3 Rb 0.250 0.962 0.875
4 Rb 0.462 0.250 0.625
5 Rb 0.538 0.750 0.625
6 Rb 0.750 0.038 0.875
7 Rb 0.750 0.462 0.375
8 Rb 0.962 0.750 0.125
9 P 0.000 0.000 0.000
10 P 0.000 0.500 0.250
11 P 0.500 0.000 0.750
12 P 0.500 0.500 0.500
13 Pd 0.000 0.000 0.500
14 Pd 0.000 0.500 0.750
15 Pd 0.500 0.000 0.250
16 Pd 0.500 0.500 0.000

No. 4
Sr4In13Au9 | SCAN | PBEsol geometry

Properties
The density of states at the Fermi level is 10.529 states/eV per cell. The volume is 23.5 A^3/atom. For the energy of formation from the pure elements, the calculation gives -58.55 kJ/mol of atoms. The value obtained for the electronic total energy is -1161.3 eV per cell. As for the symmetry: No. 187.

a = 12.664 Å, b = 12.664 Å, c = 4.394 Å
α = 90.00°, β = 90.00°, γ = 120.00°
Fractional positions:
1 Sr 0.000 0.000 0.000
2 Sr 0.078 0.539 0.500
3 Sr 0.461 0.539 0.500
4 Sr 0.461 0.922 0.500
5 In 0.133 0.266 0.500
6 In 0.133 0.867 0.500
7 In 0.326 0.040 0.000
8 In 0.326 0.286 0.000
9 In 0.333 0.667 0.000
10 In 0.500 0.250 0.500
11 In 0.714 0.040 0.000
12 In 0.714 0.674 0.000
13 In 0.734 0.867 0.500
14 In 0.750 0.250 0.500
15 In 0.750 0.500 0.500
16 In 0.960 0.286 0.000
17 In 0.960 0.674 0.000
18 Au 0.212 0.425 0.000
19 Au 0.212 0.788 0.000
20 Au 0.239 0.120 0.500
21 Au 0.575 0.788 0.000
22 Au 0.581 0.161 0.000
23 Au 0.581 0.419 0.000
24 Au 0.839 0.419 0.000
25 Au 0.880 0.120 0.500
26 Au 0.880 0.761 0.500

No. 5
KVP2S7 | SCAN | PBEsol geometry

Properties
The volume is 23.0 A^3/atom. The value obtained for the electronic total energy is -122.3 eV per cell. As for the symmetry: No. 5. The value obtained for the formation energy (no corrections) is -0.755 eV/atom.

a = 6.393 Å, b = 6.393 Å, c = 6.296 Å
α = 95.73°, β = 95.73°, γ = 96.28°
Fractional positions:
1 K 0.000 0.000 0.000
2 V 0.614 0.386 0.500
3 P 0.061 0.539 0.418
4 P 0.461 0.939 0.582
5 S 0.124 0.876 0.500
6 S 0.299 0.426 0.270
7 S 0.486 0.206 0.789
8 S 0.574 0.701 0.730
9 S 0.590 0.032 0.320
10 S 0.794 0.514 0.211
11 S 0.968 0.410 0.680

No. 6
ReMoPt2 | SCAN | PBEsol geometry

Properties
The density of states at the Fermi level is 7.495 states/eV per cell. The volume is 14.8 A^3/atom. For the energy of formation from the pure elements, the calculation gives -8.18 kJ/mol of atoms. The relative energy among the computed polymorphs comes out at 0.45 eV per formula unit. The value obtained for the electronic total energy is -493.4 eV per cell. As for the symmetry: No. 12.

a = 9.214 Å, b = 2.741 Å, c = 4.755 Å
α = 90.00°, β = 99.91°, γ = 90.00°
Fractional positions:
1 Re 0.000 0.000 0.000
2 Re 0.500 0.500 0.000
3 Mo 0.000 0.500 0.500
4 Mo 0.500 0.000 0.500
5 Pt 0.249 0.500 0.248
6 Pt 0.251 0.000 0.752
7 Pt 0.749 0.000 0.248
8 Pt 0.751 0.500 0.752